## Pr2BiPtO6 (PBE)

Data for crystalline Pr2BiPtO6 at its relaxed geometry.

V = 15.5 A^3/atom
SG = P2_1/c (14)
Formation energy without anion corrections = -2013.3 meV per atom

abc: 4.805 5.875 11.905
angles: 90.00 112.27 90.00
Atoms (fractional coordinates):
Pr 0.201 0.061 0.242
Pr 0.201 0.439 0.742
Pr 0.799 0.561 0.258
Pr 0.799 0.939 0.758
Bi 0.000 0.000 0.500
Bi 0.000 0.500 0.000
Pt 0.500 0.000 0.000
Pt 0.500 0.500 0.500
O 0.148 0.204 0.903
O 0.148 0.296 0.403
O 0.254 0.733 0.912
O 0.254 0.767 0.412
O 0.300 0.048 0.703
O 0.300 0.452 0.203
O 0.700 0.548 0.797
O 0.700 0.952 0.297
O 0.746 0.233 0.588
O 0.746 0.267 0.088
O 0.852 0.704 0.597
O 0.852 0.796 0.097



## AcPmSm4 (PBE)

Data for crystalline AcPmSm4 at its relaxed geometry.

V = 35.7 A^3/atom
DFT formation energy = 0.03 eV per atom
SG = C2/m (12)

abc: 7.429 7.429 9.218
angles: 101.61 101.61 59.99
Atoms (fractional coordinates):
Ac 0.140 0.140 0.334
Ac 0.860 0.860 0.666
Pm 0.363 0.363 0.671
Pm 0.637 0.637 0.329
Sm 0.143 0.636 0.327
Sm 0.250 0.250 0.992
Sm 0.255 0.745 0.000
Sm 0.364 0.857 0.673
Sm 0.636 0.143 0.327
Sm 0.745 0.255 0.000
Sm 0.750 0.750 0.008
Sm 0.857 0.364 0.673



## TaAlCuTc (PBE)

Data for crystalline TaAlCuTc at its relaxed geometry.

V = 14.9 A^3/atom
DFT formation energy = -0.20 eV per atom
SG = F-43m (216)

abc: 6.202 6.202 6.202
angles: 90.00 90.00 90.00
Atoms (fractional coordinates):
Ta 0.000 0.000 0.000
Ta 0.000 0.500 0.500
Ta 0.500 0.000 0.500
Ta 0.500 0.500 0.000
Al 0.000 0.000 0.500
Al 0.000 0.500 0.000
Al 0.500 0.000 0.000
Al 0.500 0.500 0.500
Cu 0.250 0.250 0.750
Cu 0.250 0.750 0.250
Cu 0.750 0.250 0.250
Cu 0.750 0.750 0.750
Tc 0.250 0.250 0.250
Tc 0.250 0.750 0.750
Tc 0.750 0.250 0.750
Tc 0.750 0.750 0.250